# 1
A relaxed structure of BaLiCaCu. Source: the Alexandria database, functional PBE-GGA.

abc: 7.8809 7.8809 7.8809
angles: 90.00 90.00 90.00
Last column: nearest neighbours and their distance in Å.
Fractional coordinates of all 16 atoms:
Ba: 0.0000 0.0000 0.0000  4 Li 3.41, 4 Cu 3.41
Ba: 0.0000 0.5000 0.5000  4 Li 3.41, 4 Cu 3.41
Ba: 0.5000 0.0000 0.5000  4 Li 3.41, 4 Cu 3.41
Ba: 0.5000 0.5000 0.0000  4 Li 3.41, 4 Cu 3.41
Li: 0.2500 0.2500 0.7500  4 Ba 3.41, 4 Ca 3.41
Li: 0.2500 0.7500 0.2500  4 Ba 3.41, 4 Ca 3.41
Li: 0.7500 0.2500 0.2500  4 Ba 3.41, 4 Ca 3.41
Li: 0.7500 0.7500 0.7500  4 Ba 3.41, 4 Ca 3.41
Ca: 0.0000 0.0000 0.5000  4 Li 3.41, 4 Cu 3.41
Ca: 0.0000 0.5000 0.0000  4 Li 3.41, 4 Cu 3.41
Ca: 0.5000 0.0000 0.0000  4 Li 3.41, 4 Cu 3.41
Ca: 0.5000 0.5000 0.5000  4 Li 3.41, 4 Cu 3.41
Cu: 0.2500 0.2500 0.2500  4 Ba 3.41, 4 Ca 3.41
Cu: 0.2500 0.7500 0.7500  4 Ba 3.41, 4 Ca 3.41
Cu: 0.7500 0.2500 0.7500  4 Ba 3.41, 4 Ca 3.41
Cu: 0.7500 0.7500 0.2500  4 Ba 3.41, 4 Ca 3.41

## Properties
Volume (A^3/atom): 30.6
DOS(E_F) (states/eV/f.u.): 3.4

---

# 2
A relaxed structure of BaLiCa2Cu. Source: the Alexandria database, functional PBE-GGA.

abc: 5.7163 5.7163 5.4631
angles: 90.00 90.00 90.00
Last column: nearest neighbours and their distance in Å.
Fractional coordinates of all 5 atoms:
Ba: 0.0000 0.0000 0.0000  8 Ca 3.95, 4 Li 4.04
Li: 0.5000 0.5000 0.0000  2 Cu 2.73
Ca: 0.0000 0.5000 0.5000  2 Cu 2.86
Ca: 0.5000 0.0000 0.5000  2 Cu 2.86
Cu: 0.5000 0.5000 0.5000  2 Li 2.73, 4 Ca 2.86

## Properties
Volume (A^3/atom): 35.7
DOS(E_F) (states/eV/f.u.): 5.5
Energy relative to the lowest polymorph listed for this composition (kJ/mol of atoms): 1.36

---

Ordered energy relative to the elements results: 6.9, 6.7; unit kJ/mol of atoms.